Computed, not measured: LiZnBiIr after structural relaxation at the PBE-GGA level of DFT.

Calculated values
Energy of formation from the pure elements, eV/f.u.: -0.51
Calculated density, Mg/m³: 11.41
DOS(E_F), states/eV/f.u.: 1.8

The structure in CIF format:
```
data_LiZnBiIr
_symmetry_space_group_name_H-M 'P 1'
_symmetry_Int_Tables_number 1
_cell_length_a 6.509
_cell_length_b 6.509
_cell_length_c 6.509
_cell_angle_alpha 90.00
_cell_angle_beta 90.00
_cell_angle_gamma 90.00
loop_
_symmetry_equiv_pos_as_xyz
'x,y,z'
loop_
_atom_site_label
_atom_site_fract_x
_atom_site_fract_y
_atom_site_fract_z
_atom_site_occupancy
Li1 0.000 0.000 0.000 1
Li2 0.000 0.500 0.500 1
Li3 0.500 0.000 0.500 1
Li4 0.500 0.500 0.000 1
Zn1 0.250 0.250 0.750 1
Zn2 0.250 0.750 0.250 1
Zn3 0.750 0.250 0.250 1
Zn4 0.750 0.750 0.750 1
Bi1 0.250 0.250 0.250 1
Bi2 0.250 0.750 0.750 1
Bi3 0.750 0.250 0.750 1
Bi4 0.750 0.750 0.250 1
Ir1 0.000 0.000 0.500 1
Ir2 0.000 0.500 0.000 1
Ir3 0.500 0.000 0.000 1
Ir4 0.500 0.500 0.500 1
```